1.
A relaxed structure of MnCrNi2. Source: the Alexandria database, functional PBE.

Properties
Its magnetic moment is 1.42 μB per cell. As for the calculated density: 8.02 Mg/m³. The final energy comes out at -30.07 eV/cell. Its space group is No. 12.

abc: 4.459 4.459 4.146
angles: 76.48 76.48 35.53
Site moments in Bohr magnetons follow the coordinates.
Element x y z (fractional)
1 Ni 0.002 0.002 0.996  0.25
2 Cr 0.750 0.750 0.750  -1.76
3 Mn 0.250 0.250 0.250  2.71
4 Ni 0.498 0.498 0.504  0.25

---

2.
A relaxed structure of MnCrNi2. Source: the Alexandria database, functional PBE.

Properties
Its magnetic moment is 2.30 μB per cell. As for the calculated density: 8.36 Mg/m³. The final energy comes out at -30.18 eV/cell. Its space group is No. 99.

abc: 2.473 2.473 7.285
angles: 90.00 90.00 90.04
Site moments in Bohr magnetons follow the coordinates.
Element x y z (fractional)
1 Ni 0.500 0.500 0.250  0.11
2 Ni 0.000 0.000 0.000  0.24
3 Cr 0.000 0.000 0.495  0.11
4 Mn 0.500 0.500 0.754  1.80

---

3.
A relaxed structure of MnCrNi2. Source: the Alexandria database, functional PBE.

Properties
Its magnetic moment is 2.29 μB per cell. As for the calculated density: 8.33 Mg/m³. The final energy comes out at -29.87 eV/cell. Its space group is No. 166.

abc: 8.460 8.460 8.460
angles: 16.92 16.92 16.92
Site moments in Bohr magnetons follow the coordinates.
Element x y z (fractional)
1 Ni 0.000 0.000 0.000  0.29
2 Mn 0.750 0.750 0.750  1.77
3 Ni 0.500 0.500 0.500  0.29
4 Cr 0.250 0.250 0.250  -0.07

---

4.
A relaxed structure of Mn2CrNi2. Source: the Alexandria database, functional PBE.

Properties
Its magnetic moment is 5.31 μB per cell. As for the calculated density: 7.95 Mg/m³. The final energy comes out at -75.95 eV/cell. As for the energy above the lowest structure with this stoichiometry: 0.00 eV per formula unit. Its space group is No. 127.

abc: 6.844 6.844 2.492
angles: 90.00 90.00 90.00
Site moments in Bohr magnetons follow the coordinates.
Element x y z (fractional)
1 Ni 0.177 0.677 0.500  0.27
2 Mn 0.120 0.380 0.000  1.65
3 Mn 0.880 0.620 0.000  1.65
4 Cr 0.500 0.500 0.000  -1.16
5 Cr 0.000 0.000 0.000  -1.16
6 Ni 0.823 0.323 0.500  0.27
7 Ni 0.677 0.823 0.500  0.27
8 Mn 0.620 0.120 0.000  1.65
9 Mn 0.380 0.880 0.000  1.65
10 Ni 0.323 0.177 0.500  0.27

---

5.
A relaxed structure of MnCrNi2. Source: the Alexandria database, functional PBE.

Properties
Its magnetic moment is 1.67 μB per cell. As for the calculated density: 8.21 Mg/m³. The final energy comes out at -30.23 eV/cell. Its space group is No. 65.

abc: 5.544 4.424 2.497
angles: 89.92 63.37 120.01
Site moments in Bohr magnetons follow the coordinates.
Element x y z (fractional)
1 Cr 0.000 0.500 0.500  -1.14
2 Ni 0.500 0.000 0.500  0.21
3 Mn 0.500 0.500 0.000  2.44
4 Ni 0.000 0.000 0.000  0.21

---

6.
A relaxed structure of MnCrNi2. Source: the Alexandria database, functional PBE.

Properties
Its magnetic moment is 2.23 μB per cell. As for the calculated density: 8.20 Mg/m³. The final energy comes out at -30.30 eV/cell. Its space group is No. 47.

abc: 3.654 2.503 5.561
angles: 63.29 90.00 90.00
Site moments in Bohr magnetons follow the coordinates.
Element x y z (fractional)
1 Mn 0.500 0.750 0.750  2.63
2 Cr 0.500 0.250 0.250  -0.90
3 Ni 0.000 0.505 0.496  0.27
4 Ni 0.000 0.995 0.004  0.27